Compound: NiHgAs2O8
Source: Alexandria via LeMat-Bulk
Functional: PBE with a Hubbard U
Structure: relaxed

Summary:
The crystal system is tetragonal. The calculation puts the total energy at -4.94 eV per atom.

Cell lengths 5.8814, 5.8814, 5.8814 Å; angles 107.09, 107.09, 114.34 degrees
Element x y z (fractional)
Ni 0.0000 0.0000 0.0000
Hg 0.2500 0.7500 0.5000
As 0.5000 0.5000 0.0000
As 0.7500 0.2500 0.5000
O 0.3085 0.1349 0.8264
O 0.3085 0.4821 0.1736
O 0.3849 0.0738 0.3111
O 0.5179 0.6915 0.8264
O 0.7627 0.0738 0.6889
O 0.8651 0.6915 0.1736
O 0.9262 0.2373 0.3111
O 0.9262 0.6151 0.6889